#one
! Zn2InSb (PBEsol, optimized geometry); values from VASP
&SYSTEM
  ibrav = 0, nat = 12, ntyp = 3
/
ATOMIC_SPECIES
Zn 65.41 Zn.upf
In 114.82 In.upf
Sb 121.76 Sb.upf
CELL_PARAMETERS angstrom
3.2406 0.0000 0.0000
-1.6203 2.8064 0.0000
0.0000 0.0000 27.4979
ATOMIC_POSITIONS crystal
Zn 0.0000 0.0000 0.0000
Zn 0.0000 0.0000 0.2679
Zn 0.3333 0.6667 0.6667
Zn 0.3333 0.6667 0.9346
Zn 0.6667 0.3333 0.3333
Zn 0.6667 0.3333 0.6012
In 0.0000 0.0000 0.5196
In 0.3333 0.6667 0.1862
In 0.6667 0.3333 0.8529
Sb 0.0000 0.0000 0.7495
Sb 0.3333 0.6667 0.4162
Sb 0.6667 0.3333 0.0829
! - Space group: R3m, No. 160
! - Spin magnetization: 0.00 μB per formula unit
! - ρ: 7.319 g/cm3

***

#two
! Zn2InSb (PBEsol, optimized geometry); values from VASP
&SYSTEM
  ibrav = 0, nat = 4, ntyp = 3
/
ATOMIC_SPECIES
Zn 65.41 Zn.upf
In 114.82 In.upf
Sb 121.76 Sb.upf
CELL_PARAMETERS angstrom
4.1943 0.0000 0.0000
0.0000 4.4013 0.0000
-1.2249 0.0000 4.6184
ATOMIC_POSITIONS crystal
Zn 0.0000 0.0000 0.0000
Zn 0.0844 0.5000 0.7649
In 0.6905 0.5000 0.2039
Sb 0.3796 0.0000 0.5721
! - Space group: Pm, No. 6
! - Spin magnetization: 0.00 μB per formula unit
! - ρ: 7.156 g/cm3

***

The most stable arrangement is #two, and the next structure is 0.059 eV/atom less stable.

***

#one
! CrCo3 (PBEsol, optimized geometry); values from VASP
&SYSTEM
  ibrav = 0, nat = 16, ntyp = 2
/
ATOMIC_SPECIES
Cr 52.00 Cr.upf
Co 58.93 Co.upf
CELL_PARAMETERS angstrom
3.4306 0.0000 0.0000
0.0000 3.4306 0.0000
0.0000 0.0000 13.7096
ATOMIC_POSITIONS crystal
Cr 0.0000 0.0000 0.1279
Cr 0.0000 0.0000 0.8721
Cr 0.5000 0.5000 0.3721
Cr 0.5000 0.5000 0.6279
Co 0.0000 0.0000 0.3780
Co 0.0000 0.0000 0.6220
Co 0.0000 0.5000 0.0000
Co 0.0000 0.5000 0.2500
Co 0.0000 0.5000 0.5000
Co 0.0000 0.5000 0.7500
Co 0.5000 0.0000 0.0000
Co 0.5000 0.0000 0.2500
Co 0.5000 0.0000 0.5000
Co 0.5000 0.0000 0.7500
Co 0.5000 0.5000 0.1220
Co 0.5000 0.5000 0.8780
! - Space group: I4/mmm, No. 139
! - Spin magnetization: 0.02 μB per formula unit
! - ρ: 9.419 g/cm3

***

#two
! CrCo3 (PBEsol, optimized geometry); values from VASP
&SYSTEM
  ibrav = 0, nat = 4, ntyp = 2
/
ATOMIC_SPECIES
Cr 52.00 Cr.upf
Co 58.93 Co.upf
CELL_PARAMETERS angstrom
2.4587 0.0000 0.0000
-1.2293 2.1293 0.0000
0.0000 0.0000 7.8723
ATOMIC_POSITIONS crystal
Cr 0.0000 0.0000 0.0000
Co 0.0000 0.0000 0.5000
Co 0.3333 0.6667 0.2485
Co 0.3333 0.6667 0.7515
! - Space group: P-6m2, No. 187
! - Spin magnetization: 2.30 μB per formula unit
! - ρ: 9.218 g/cm3

***

The most stable arrangement is #one, and the next structure is 0.049 eV/atom less stable.

***

#one
! Zn2CrIr (PBEsol, optimized geometry); values from VASP
&SYSTEM
  ibrav = 0, nat = 4, ntyp = 3
/
ATOMIC_SPECIES
Zn 65.41 Zn.upf
Cr 52.00 Cr.upf
Ir 192.22 Ir.upf
CELL_PARAMETERS angstrom
3.0942 0.0000 0.0000
0.0000 3.0942 0.0000
0.0000 0.0000 5.6959
ATOMIC_POSITIONS crystal
Zn 0.0000 0.0000 0.2463
Zn 0.0000 0.0000 0.7537
Cr 0.5000 0.5000 0.5000
Ir 0.5000 0.5000 0.0000
! - Space group: P4/mmm, No. 123
! - Spin magnetization: 3.83 μB per formula unit
! - ρ: 11.420 g/cm3

***

#two
! Zn2CrIr (PBEsol, optimized geometry); values from VASP
&SYSTEM
  ibrav = 0, nat = 4, ntyp = 3
/
ATOMIC_SPECIES
Zn 65.41 Zn.upf
Cr 52.00 Cr.upf
Ir 192.22 Ir.upf
CELL_PARAMETERS angstrom
2.6945 0.0000 0.0000
0.0000 4.3594 0.0000
-0.3940 0.0000 4.6137
ATOMIC_POSITIONS crystal
Zn 0.2302 0.0000 0.2489
Zn 0.7698 0.0000 0.7511
Cr 0.5000 0.5000 0.0000
Ir 0.0000 0.5000 0.5000
! - Space group: P2/m, No. 10
! - Spin magnetization: 2.25 μB per formula unit
! - ρ: 11.491 g/cm3

***

The most stable arrangement is #one, and the next structure is 0.014 eV/atom less stable.

***

#one
! KMgBr2 (PBEsol, optimized geometry); values from VASP
&SYSTEM
  ibrav = 0, nat = 4, ntyp = 3
/
ATOMIC_SPECIES
K 39.10 K.upf
Mg 24.30 Mg.upf
Br 79.90 Br.upf
CELL_PARAMETERS angstrom
3.8891 0.0000 0.0000
0.0000 4.0003 0.0000
0.0000 0.0000 7.6145
ATOMIC_POSITIONS crystal
K 0.0000 0.0000 0.0000
Mg 0.5000 0.0000 0.5000
Br 0.5000 0.5000 0.2466
Br 0.5000 0.5000 0.7534
! - Space group: Pmmm, No. 47
! - Spin magnetization: 0.85 μB per formula unit
! - ρ: 3.129 g/cm3

***

#two
! KMgBr2 (PBEsol, optimized geometry); values from VASP
&SYSTEM
  ibrav = 0, nat = 12, ntyp = 3
/
ATOMIC_SPECIES
K 39.10 K.upf
Mg 24.30 Mg.upf
Br 79.90 Br.upf
CELL_PARAMETERS angstrom
4.6014 0.0000 0.0000
-2.3007 3.9849 0.0000
0.0000 0.0000 20.7419
ATOMIC_POSITIONS crystal
K 0.0000 0.0000 0.0000
K 0.3333 0.6667 0.6667
K 0.6667 0.3333 0.3333
Mg 0.0000 0.0000 0.5000
Mg 0.3333 0.6667 0.1667
Mg 0.6667 0.3333 0.8333
Br 0.0000 0.0000 0.2376
Br 0.0000 0.0000 0.7624
Br 0.3333 0.6667 0.4291
Br 0.3333 0.6667 0.9043
Br 0.6667 0.3333 0.0957
Br 0.6667 0.3333 0.5709
! - Space group: R-3m, No. 166
! - Spin magnetization: 0.06 μB per formula unit
! - ρ: 2.924 g/cm3

***

The most stable arrangement is #one, and the next structure is 0.047 eV/atom less stable.

***

#one
! InPSe2 (PBEsol, optimized geometry); values from VASP
&SYSTEM
  ibrav = 0, nat = 8, ntyp = 3
/
ATOMIC_SPECIES
In 114.82 In.upf
P 30.97 P.upf
Se 78.96 Se.upf
CELL_PARAMETERS angstrom
3.5072 0.0000 0.0000
0.0000 6.5233 0.0000
0.0000 0.0000 8.2222
ATOMIC_POSITIONS crystal
In 0.0000 0.0000 0.0000
In 0.5000 0.5000 0.0000
P 0.0000 0.5000 0.2607
P 0.5000 0.0000 0.2607
Se 0.0000 0.0000 0.4511
Se 0.0000 0.5000 0.7676
Se 0.5000 0.0000 0.7676
Se 0.5000 0.5000 0.4511
! - Space group: Cmm2, No. 35
! - Spin magnetization: 0.00 μB per formula unit
! - ρ: 5.362 g/cm3

***

#two
! InPSe2 (PBEsol, optimized geometry); values from VASP
&SYSTEM
  ibrav = 0, nat = 8, ntyp = 3
/
ATOMIC_SPECIES
In 114.82 In.upf
P 30.97 P.upf
Se 78.96 Se.upf
CELL_PARAMETERS angstrom
5.5220 0.0000 0.0000
0.0000 5.5220 0.0000
0.0000 0.0000 5.4893
ATOMIC_POSITIONS crystal
In 0.0000 0.0000 0.0000
In 0.5000 0.5000 0.5000
P 0.0000 0.0000 0.5000
P 0.5000 0.5000 0.0000
Se 0.0000 0.5000 0.0000
Se 0.0000 0.5000 0.5000
Se 0.5000 0.0000 0.0000
Se 0.5000 0.0000 0.5000
! - Space group: I4/mmm, No. 139
! - Spin magnetization: 0.00 μB per formula unit
! - ρ: 6.026 g/cm3

***

The most stable arrangement is #two, and the next structure is 0.271 eV/atom less stable.

***

#one
! K2ZrTl (PBEsol, optimized geometry); values from VASP
&SYSTEM
  ibrav = 0, nat = 12, ntyp = 3
/
ATOMIC_SPECIES
K 39.10 K.upf
Zr 91.22 Zr.upf
Tl 204.38 Tl.upf
CELL_PARAMETERS angstrom
3.3305 0.0000 0.0000
-1.6653 2.8843 0.0000
0.0000 0.0000 38.9769
ATOMIC_POSITIONS crystal
K 0.0000 0.0000 0.2473
K 0.0000 0.0000 0.7527
K 0.3333 0.6667 0.4194
K 0.3333 0.6667 0.9139
K 0.6667 0.3333 0.0861
K 0.6667 0.3333 0.5806
Zr 0.0000 0.0000 0.0000
Zr 0.3333 0.6667 0.6667
Zr 0.6667 0.3333 0.3333
Tl 0.0000 0.0000 0.5000
Tl 0.3333 0.6667 0.1667
Tl 0.6667 0.3333 0.8333
! - Space group: R-3m, No. 166
! - Spin magnetization: 0.00 μB per formula unit
! - ρ: 4.973 g/cm3

***

#two
! K2ZrTl (PBEsol, optimized geometry); values from VASP
&SYSTEM
  ibrav = 0, nat = 8, ntyp = 3
/
ATOMIC_SPECIES
K 39.10 K.upf
Zr 91.22 Zr.upf
Tl 204.38 Tl.upf
CELL_PARAMETERS angstrom
6.3542 0.0000 0.0000
0.0000 12.3675 0.0000
0.0000 0.0000 3.1993
ATOMIC_POSITIONS crystal
K 0.2500 0.2500 0.0000
K 0.2500 0.7500 0.0000
K 0.7500 0.2500 0.0000
K 0.7500 0.7500 0.0000
Zr 0.0000 0.0000 0.5000
Zr 0.5000 0.5000 0.5000
Tl 0.0000 0.5000 0.5000
Tl 0.5000 0.0000 0.5000
! - Space group: Cmmm, No. 65
! - Spin magnetization: 1.17 μB per formula unit
! - ρ: 4.938 g/cm3

***

The most stable arrangement is #one, and the next structure is 0.076 eV/atom less stable.

***

#one
! FeReBr2 (PBEsol, optimized geometry); values from VASP
&SYSTEM
  ibrav = 0, nat = 4, ntyp = 3
/
ATOMIC_SPECIES
Fe 55.84 Fe.upf
Re 186.21 Re.upf
Br 79.90 Br.upf
CELL_PARAMETERS angstrom
2.9680 0.0000 0.0000
0.0000 2.9680 0.0000
0.0000 0.0000 8.0910
ATOMIC_POSITIONS crystal
Fe 0.0000 0.0000 0.0000
Re 0.5000 0.5000 0.1809
Br 0.0000 0.0000 0.4002
Br 0.5000 0.5000 0.7972
! - Space group: P4mm, No. 99
! - Spin magnetization: 1.02 μB per formula unit
! - ρ: 9.363 g/cm3

***

#two
! FeReBr2 (PBEsol, optimized geometry); values from VASP
&SYSTEM
  ibrav = 0, nat = 8, ntyp = 3
/
ATOMIC_SPECIES
Fe 55.84 Fe.upf
Re 186.21 Re.upf
Br 79.90 Br.upf
CELL_PARAMETERS angstrom
8.1941 0.0000 0.0000
0.0000 3.0327 0.0000
-1.1626 0.0000 5.1491
ATOMIC_POSITIONS crystal
Fe 0.0000 0.0000 0.0000
Fe 0.5000 0.5000 0.0000
Re 0.0000 0.5000 0.5000
Re 0.5000 0.0000 0.5000
Br 0.2397 0.5000 0.2484
Br 0.2603 0.0000 0.7516
Br 0.7397 0.0000 0.2484
Br 0.7603 0.5000 0.7516
! - Space group: C2/m, No. 12
! - Spin magnetization: 2.22 μB per formula unit
! - ρ: 10.430 g/cm3

***

The most stable arrangement is #one, and the next structure is 0.520 eV/atom less stable.

***

#one
! LaMgCl2 (PBEsol, optimized geometry); values from VASP
&SYSTEM
  ibrav = 0, nat = 4, ntyp = 3
/
ATOMIC_SPECIES
La 138.91 La.upf
Mg 24.30 Mg.upf
Cl 35.45 Cl.upf
CELL_PARAMETERS angstrom
3.6851 0.0000 0.0000
0.0000 4.4303 0.0000
0.0000 0.0000 5.8992
ATOMIC_POSITIONS crystal
La 0.0000 0.0000 0.0000
Mg 0.5000 0.0000 0.5000
Cl 0.0000 0.5000 0.5000
Cl 0.5000 0.5000 0.0000
! - Space group: Pmmm, No. 47
! - Spin magnetization: 0.00 μB per formula unit
! - ρ: 4.036 g/cm3

***

#two
! LaMgCl2 (PBEsol, optimized geometry); values from VASP
&SYSTEM
  ibrav = 0, nat = 16, ntyp = 3
/
ATOMIC_SPECIES
La 138.91 La.upf
Mg 24.30 Mg.upf
Cl 35.45 Cl.upf
CELL_PARAMETERS angstrom
6.1708 0.0000 0.0000
0.0000 6.1708 0.0000
0.0000 0.0000 12.4955
ATOMIC_POSITIONS crystal
La 0.0000 0.0000 0.0000
La 0.0000 0.5000 0.2500
La 0.5000 0.0000 0.7500
La 0.5000 0.5000 0.5000
Mg 0.0000 0.0000 0.5000
Mg 0.0000 0.5000 0.7500
Mg 0.5000 0.0000 0.2500
Mg 0.5000 0.5000 0.0000
Cl 0.1833 0.2500 0.6250
Cl 0.2500 0.6833 0.8750
Cl 0.2500 0.8167 0.3750
Cl 0.3167 0.2500 0.1250
Cl 0.6833 0.7500 0.1250
Cl 0.7500 0.1833 0.3750
Cl 0.7500 0.3167 0.8750
Cl 0.8167 0.7500 0.6250
! - Space group: I-42d, No. 122
! - Spin magnetization: 2.39 μB per formula unit
! - ρ: 3.268 g/cm3

***

The most stable arrangement is #one, and the next structure is 0.376 eV/atom less stable.

***

#one
! Li2SbPb (PBEsol, optimized geometry); values from VASP
&SYSTEM
  ibrav = 0, nat = 4, ntyp = 3
/
ATOMIC_SPECIES
Li 6.94 Li.upf
Sb 121.76 Sb.upf
Pb 207.20 Pb.upf
CELL_PARAMETERS angstrom
3.1350 0.0000 0.0000
0.0000 4.1152 0.0000
0.0000 0.0000 6.7002
ATOMIC_POSITIONS crystal
Li 0.0000 0.0000 0.2251
Li 0.0000 0.0000 0.7749
Sb 0.5000 0.5000 0.0000
Pb 0.5000 0.5000 0.5000
! - Space group: Pmmm, No. 47
! - Spin magnetization: 0.00 μB per formula unit
! - ρ: 6.586 g/cm3

***

#two
! Li2SbPb (PBEsol, optimized geometry); values from VASP
&SYSTEM
  ibrav = 0, nat = 4, ntyp = 3
/
ATOMIC_SPECIES
Li 6.94 Li.upf
Sb 121.76 Sb.upf
Pb 207.20 Pb.upf
CELL_PARAMETERS angstrom
4.5665 0.0000 0.0000
0.0000 4.5665 0.0000
0.0000 0.0000 4.1514
ATOMIC_POSITIONS crystal
Li 0.0000 0.5000 0.0000
Li 0.5000 0.0000 0.0000
Sb 0.0000 0.0000 0.5000
Pb 0.5000 0.5000 0.5000
! - Space group: P4/mmm, No. 123
! - Spin magnetization: 0.00 μB per formula unit
! - ρ: 6.576 g/cm3

***

The most stable arrangement is #two, and the next structure is 0.025 eV/atom less stable.

***

#one
! La2RuBr (PBEsol, optimized geometry); values from VASP
&SYSTEM
  ibrav = 0, nat = 4, ntyp = 3
/
ATOMIC_SPECIES
La 138.91 La.upf
Ru 101.07 Ru.upf
Br 79.90 Br.upf
CELL_PARAMETERS angstrom
4.2347 0.0000 0.0000
0.0000 4.2347 0.0000
0.0000 0.0000 5.9727
ATOMIC_POSITIONS crystal
La 0.0000 0.0000 0.0000
La 0.5000 0.5000 0.4418
Ru 0.0000 0.0000 0.3933
Br 0.5000 0.5000 0.9385
! - Space group: P4mm, No. 99
! - Spin magnetization: 0.00 μB per formula unit
! - ρ: 7.113 g/cm3

***

#two
! La2RuBr (PBEsol, optimized geometry); values from VASP
&SYSTEM
  ibrav = 0, nat = 4, ntyp = 3
/
ATOMIC_SPECIES
La 138.91 La.upf
Ru 101.07 Ru.upf
Br 79.90 Br.upf
CELL_PARAMETERS angstrom
3.4809 0.0000 0.0000
0.0000 4.9535 0.0000
0.0000 0.0000 5.4622
ATOMIC_POSITIONS crystal
La 0.0000 0.0000 0.0000
La 0.0000 0.5000 0.5000
Ru 0.5000 0.0000 0.5000
Br 0.5000 0.5000 0.0000
! - Space group: Pmmm, No. 47
! - Spin magnetization: 0.00 μB per formula unit
! - ρ: 8.089 g/cm3

***

The most stable arrangement is #one, and the next structure is 0.212 eV/atom less stable.

***

#one
! ReNiRu (PBEsol, optimized geometry); values from VASP
&SYSTEM
  ibrav = 0, nat = 6, ntyp = 3
/
ATOMIC_SPECIES
Re 186.21 Re.upf
Ni 58.69 Ni.upf
Ru 101.07 Ru.upf
CELL_PARAMETERS angstrom
2.6641 0.0000 0.0000
0.0000 3.7047 0.0000
0.0000 0.0000 7.8013
ATOMIC_POSITIONS crystal
Re 0.0000 0.0000 0.0000
Re 0.5000 0.5000 0.5000
Ni 0.0000 0.0000 0.3350
Ni 0.5000 0.5000 0.8350
Ru 0.0000 0.0000 0.6695
Ru 0.5000 0.5000 0.1695
! - Space group: Imm2, No. 44
! - Spin magnetization: 0.00 μB per formula unit
! - ρ: 14.923 g/cm3

***

#two
! ReNiRu (PBEsol, optimized geometry); values from VASP
&SYSTEM
  ibrav = 0, nat = 3, ntyp = 3
/
ATOMIC_SPECIES
Re 186.21 Re.upf
Ni 58.69 Ni.upf
Ru 101.07 Ru.upf
CELL_PARAMETERS angstrom
4.1324 0.0000 0.0000
-2.0662 3.5787 0.0000
0.0000 0.0000 2.6366
ATOMIC_POSITIONS crystal
Re 0.0000 0.0000 0.0000
Ni 0.6667 0.3333 0.0000
Ru 0.3333 0.6667 0.5000
! - Space group: P-6m2, No. 187
! - Spin magnetization: 0.00 μB per formula unit
! - ρ: 14.734 g/cm3

***

The most stable arrangement is #one, and the next structure is 0.130 eV/atom less stable.

***

#one
! Li2TaCo (PBEsol, optimized geometry); values from VASP
&SYSTEM
  ibrav = 0, nat = 8, ntyp = 3
/
ATOMIC_SPECIES
Li 6.94 Li.upf
Ta 180.95 Ta.upf
Co 58.93 Co.upf
CELL_PARAMETERS angstrom
4.9274 0.0000 0.0000
0.0000 9.7947 0.0000
-1.4290 0.0000 2.3288
ATOMIC_POSITIONS crystal
Li 0.2500 0.2500 0.0000
Li 0.2500 0.7500 0.0000
Li 0.7500 0.2500 0.0000
Li 0.7500 0.7500 0.0000
Ta 0.0000 0.0000 0.5000
Ta 0.5000 0.5000 0.5000
Co 0.0000 0.5000 0.5000
Co 0.5000 0.0000 0.5000
! - Space group: C2/m, No. 12
! - Spin magnetization: 0.00 μB per formula unit
! - ρ: 7.498 g/cm3

***

#two
! Li2TaCo (PBEsol, optimized geometry); values from VASP
&SYSTEM
  ibrav = 0, nat = 16, ntyp = 3
/
ATOMIC_SPECIES
Li 6.94 Li.upf
Ta 180.95 Ta.upf
Co 58.93 Co.upf
CELL_PARAMETERS angstrom
5.7808 0.0000 0.0000
0.0000 5.7808 0.0000
0.0000 0.0000 5.7808
ATOMIC_POSITIONS crystal
Li 0.2500 0.2500 0.2500
Li 0.2500 0.2500 0.7500
Li 0.2500 0.7500 0.2500
Li 0.2500 0.7500 0.7500
Li 0.7500 0.2500 0.2500
Li 0.7500 0.2500 0.7500
Li 0.7500 0.7500 0.2500
Li 0.7500 0.7500 0.7500
Ta 0.0000 0.0000 0.0000
Ta 0.0000 0.5000 0.5000
Ta 0.5000 0.0000 0.5000
Ta 0.5000 0.5000 0.0000
Co 0.0000 0.0000 0.5000
Co 0.0000 0.5000 0.0000
Co 0.5000 0.0000 0.0000
Co 0.5000 0.5000 0.5000
! - Space group: Fm-3m, No. 225
! - Spin magnetization: 0.51 μB per formula unit
! - ρ: 8.725 g/cm3

***

The most stable arrangement is #one, and the next structure is 0.417 eV/atom less stable.